# 1
Here is an optimized crystal structure of Nd2ZrSe2N2 from Alexandria. Energies are from PBE.

POSCAR file:
```
Nd2ZrSe2N2
1.0
4.284 0.000 0.000
0.000 4.284 0.000
-2.142 -2.142 7.610
Se N Nd Zr
2 2 2 1
direct
0.181 0.181 0.362 Se
0.819 0.819 0.638 Se
0.500 0.000 0.000 N
0.000 0.500 0.000 N
0.387 0.387 0.775 Nd
0.613 0.613 0.225 Nd
0.000 0.000 0.000 Zr
```

Values from the calculation:
- DOS at the Fermi energy (states/eV per cell) = 0.0
- electronic total energy (eV per atom) = -7.59
- E_form (uncorrected) (eV/atom) = -1.630
- space group = I4/mmm, No. 139
- size of the total moment (Bohr magnetons per cell) = 0.00



# 2
Here is an optimized crystal structure of AlTcPtN2 from Alexandria. Energies are from PBE.

POSCAR file:
```
AlTcPtN2
1.0
-1.563 1.027 -3.252
0.813 -5.104 -2.002
-3.365 -1.042 1.288
N Al Pt Tc
2 1 1 1
direct
0.000 0.000 0.500 N
0.500 0.000 0.000 N
0.500 0.500 0.500 Al
0.000 0.500 0.000 Pt
0.000 0.000 0.000 Tc
```

Values from the calculation:
- DOS at the Fermi energy (states/eV per cell) = 2.7
- electronic total energy (eV per atom) = -6.91
- E_form (uncorrected) (eV/atom) = 0.454
- space group = P4/mmm, No. 123
- size of the total moment (Bohr magnetons per cell) = 0.00



# 3
Here is an optimized crystal structure of Pr5Nd2Er3 from Alexandria. Energies are from PBE.

POSCAR file:
```
Pr5Nd2Er3
1.0
6.891 0.000 0.000
3.446 11.738 2.957
3.446 5.966 10.532
Pr Er Nd
10 6 4
direct
0.504 0.246 0.246 Pr
0.004 0.246 0.246 Pr
0.872 0.533 0.722 Pr
0.128 0.467 0.278 Pr
0.996 0.754 0.754 Pr
0.628 0.278 0.467 Pr
0.750 0.500 0.500 Pr
0.496 0.754 0.754 Pr
0.250 0.500 0.500 Pr
0.372 0.722 0.533 Pr
0.750 0.000 0.000 Er
0.383 0.363 0.872 Er
0.883 0.872 0.363 Er
0.617 0.637 0.128 Er
0.117 0.128 0.637 Er
0.250 0.000 0.000 Er
0.880 0.219 0.022 Nd
0.620 0.978 0.781 Nd
0.120 0.781 0.978 Nd
0.380 0.022 0.219 Nd
```

Values from the calculation:
- DOS at the Fermi energy (states/eV per cell) = 29.4
- electronic total energy (eV per atom) = -4.35
- relative energy among the computed polymorphs (eV per formula unit) = 1.83
- DFT formation energy (eV/f.u.) = 3.597
- space group = Ibam, No. 72
- size of the total moment (Bohr magnetons per cell) = 0.00



# 4
Here is an optimized crystal structure of ZrNbMo from Alexandria. Energies are from PBE.

POSCAR file:
```
ZrNbMo
1.0
3.304 0.000 0.000
0.000 3.304 0.000
-1.652 -1.652 5.167
Zr Nb Mo
1 1 1
direct
0.006 0.006 0.013 Zr
0.316 0.316 0.632 Nb
0.678 0.678 0.356 Mo
```

Values from the calculation:
- DOS at the Fermi energy (states/eV per cell) = 4.0
- electronic total energy (eV per atom) = -9.86
- relative energy among the computed polymorphs (eV per formula unit) = 0.14
- DFT formation energy (eV/f.u.) = -0.128
- space group = I4mm, No. 107
- size of the total moment (Bohr magnetons per cell) = 0.00



- Among the records above, which one has the highest DOS at the Fermi energy?
  Pr5Nd2Er3



- Among the records above, which one has the highest electronic total energy?
  Pr5Nd2Er3



What did the first record say?
Here is an optimized crystal structure of Nd2ZrSe2N2 from Alexandria. Energies are from PBE.

POSCAR file:
```
Nd2ZrSe2N2
1.0
4.284 0.000 0.000
0.000 4.284 0.000
-2.142 -2.142 7.610
Se N Nd Zr
2 2 2 1
direct
0.181 0.181 0.362 Se
0.819 0.819 0.638 Se
0.500 0.000 0.000 N
0.000 0.500 0.000 N
0.387 0.387 0.775 Nd
0.613 0.613 0.225 Nd
0.000 0.000 0.000 Zr
```

Values from the calculation:
- DOS at the Fermi energy (states/eV per cell) = 0.0
- electronic total energy (eV per atom) = -7.59
- E_form (uncorrected) (eV/atom) = -1.630
- space group = I4/mmm, No. 139
- size of the total moment (Bohr magnetons per cell) = 0.00